A) This record from OQMD describes a relaxed structure of RbHoSO. The functional is PBE.

Results
The total magnetization comes out at 0.00 μB/f.u.

Unit cell a=5.7030 b=5.7021 c=11.8042 alpha=90.00 beta=103.66 gamma=90.00
With the nearest neighbours (Å) after each atom.
Fractional coordinates of all 16 atoms:
Rb 0.1872 0.0000 0.3873  4 S 3.16-3.17
Rb 0.3128 0.5000 0.6127  4 S 3.16-3.17
Rb 0.6872 0.5000 0.3873  4 S 3.16-3.17
Rb 0.8128 0.0000 0.6127  4 S 3.16-3.17
Ho 0.2064 0.2479 0.9098  4 O 2.26-2.27
Ho 0.2936 0.7479 0.0902  4 O 2.26-2.27
Ho 0.7064 0.7479 0.9098  4 O 2.26-2.27
Ho 0.7936 0.2479 0.0902  4 O 2.26-2.27
S 0.1277 0.5002 0.2677  2 Ho 2.86-2.87, 1 O 3.07, 4 Rb 3.16-3.17
S 0.3723 0.0002 0.7323  2 Ho 2.86-2.87, 1 O 3.07, 4 Rb 3.16-3.17
S 0.6277 0.0002 0.2677  2 Ho 2.86-2.87, 1 O 3.07, 4 Rb 3.16-3.17
S 0.8723 0.5002 0.7323  2 Ho 2.86-2.87, 1 O 3.07, 4 Rb 3.16-3.17
O 0.0000 0.4973 0.0000  4 Ho 2.27
O 0.0000 0.9973 0.0000  4 Ho 2.26-2.27
O 0.5000 0.4973 0.0000  4 Ho 2.26-2.27
O 0.5000 0.9973 0.0000  4 Ho 2.27


B) This record from OQMD describes a relaxed structure of RbHoSO. The functional is PBE.

Results
The total magnetization comes out at 0.00 μB/f.u.

Unit cell a=3.7205 b=3.7205 c=21.5480 alpha=90.00 beta=90.00 gamma=120.00
With the nearest neighbours (Å) after each atom.
Fractional coordinates of all 12 atoms:
Rb 0.0000 0.0000 0.0000  3 O 3.12, 3 S 3.14
Rb 0.3333 0.6667 0.6667  3 O 3.12, 3 S 3.14
Rb 0.6667 0.3333 0.3333  3 O 3.12, 3 S 3.14
Ho 0.0000 0.0000 0.4837  3 O 2.36
Ho 0.3333 0.6667 0.1504  3 O 2.36
Ho 0.6667 0.3333 0.8171  3 O 2.36
S 0.0000 0.0000 0.2267  3 Ho 2.71
S 0.3333 0.6667 0.8934  3 Ho 2.71
S 0.6667 0.3333 0.5601  3 Ho 2.71
O 0.0000 0.0000 0.7719  3 Ho 2.36
O 0.3333 0.6667 0.4386  3 Ho 2.36
O 0.6667 0.3333 0.1053  3 Ho 2.36


Short version: A) is the most stable of them.